Record 1
# meta-GGA SCAN K2LiAs, single point on PBEsol structure
# - E (eV per cell) = -123.7
# - magnetic moment (Bohr magnetons per cell) = 0.000
data_K2LiAs
_chemical_formula_sum 'K6 Li3 As3'
_cell_length_a 4.8282
_cell_length_b 4.8282
_cell_length_c 17.8787
_cell_angle_alpha 90.00
_cell_angle_beta 90.00
_cell_angle_gamma 120.00
_space_group_name_H-M_alt 'R 3 m'
_space_group_IT_number 160
_space_group_name_Hall 'R 3 -2"'
loop_
_atom_site_label
_atom_site_fract_x
_atom_site_fract_y
_atom_site_fract_z
_atom_site_occupancy
K1 0.0000 0.0000 0.0000 1
K2 0.0000 0.0000 0.1994 1
Li1 0.0000 0.0000 0.7636 1
As1 0.0000 0.0000 0.4314 1

Record 2
# meta-GGA SCAN K2LiAs, single point on PBEsol structure
# - E (eV per cell) = -39.5
# - magnetic moment (Bohr magnetons per cell) = 0.000
# - D(E_F) (states/eV/atom) = 0.41
data_K2LiAs
_chemical_formula_sum 'K2 Li1 As1'
_cell_length_a 3.5479
_cell_length_b 3.5479
_cell_length_c 10.7679
_cell_angle_alpha 90.00
_cell_angle_beta 90.00
_cell_angle_gamma 90.00
_space_group_name_H-M_alt 'P 4/m m m'
_space_group_IT_number 123
_space_group_name_Hall '-P 4 2'
loop_
_atom_site_label
_atom_site_fract_x
_atom_site_fract_y
_atom_site_fract_z
_atom_site_occupancy
K1 0.0000 0.0000 0.1963 1
Li1 0.5000 0.5000 0.5000 1
As1 0.5000 0.5000 0.0000 1

Record 3
# meta-GGA SCAN K2LiAs, single point on PBEsol structure
# - E (eV per cell) = -82.6
# - magnetic moment (Bohr magnetons per cell) = 0.000
data_K2LiAs
_chemical_formula_sum 'K4 Li2 As2'
_cell_length_a 4.5766
_cell_length_b 5.7496
_cell_length_c 9.1480
_cell_angle_alpha 90.00
_cell_angle_beta 90.00
_cell_angle_gamma 90.00
_space_group_name_H-M_alt 'I m m 2'
_space_group_IT_number 44
loop_
_space_group_symop_operation_xyz
'x,y,z'
'-x,-y,z'
'-x,y,z'
'x,-y,z'
'x+1/2,y+1/2,z+1/2'
'-x+1/2,-y+1/2,z+1/2'
'-x+1/2,y+1/2,z+1/2'
'x+1/2,-y+1/2,z+1/2'
loop_
_atom_site_label
_atom_site_fract_x
_atom_site_fract_y
_atom_site_fract_z
_atom_site_occupancy
K1 0.0000 0.0000 0.0000 1
K2 0.0000 0.5000 0.1850 1
Li1 0.0000 0.5000 0.8100 1
As1 0.0000 0.0000 0.3972 1